Entry 1:
VASP calculation (PBEsol) on a relaxed LaBN2 crystal.

a b c (Å): 3.902 3.902 5.460
angles (deg): 69.06 69.06 60.00
Sites, in units of the cell vectors:
N: 0.090 0.090 0.730
N: 0.910 0.910 0.270
B: 0.000 0.000 0.000
La: 0.500 0.500 0.500

The uncorrected formation energy is -5.36 eV/f.u. Its crystal system is trigonal. Its symmetry is R-3m, No. 166.

=====

Entry 2:
VASP calculation (PBEsol) on a relaxed Hf3TcAs crystal.

a b c (Å): 4.806 4.806 4.806
angles (deg): 90.00 90.00 90.00
Last column: magnetic moment on the atom in μB.
Sites, in units of the cell vectors:
Hf: 0.500 0.000 0.000  -0.04
Hf: 0.000 0.500 0.000  -0.04
Hf: 0.000 0.000 0.500  -0.04
As: 0.000 0.000 0.000  0.01
Tc: 0.500 0.500 0.500  1.48

The value obtained for the formation energy is 616 meV per atom. Its crystal system is cubic. Its symmetry is Pm-3m, No. 221.

=====

Entry 3:
VASP calculation (PBEsol) on a relaxed MnGa2Cl crystal.

a b c (Å): 4.736 4.736 4.736
angles (deg): 60.00 60.00 60.00
Last column: magnetic moment on the atom in μB.
Sites, in units of the cell vectors:
Cl: 0.000 0.000 0.000  0.04
Ga: 0.750 0.750 0.750  -0.04
Ga: 0.250 0.250 0.250  -0.04
Mn: 0.500 0.500 0.500  3.84

The uncorrected formation energy is 1.50 eV/f.u. Its crystal system is cubic. Its symmetry is Fm-3m, No. 225.

=====

Repeat the second record exactly.
VASP calculation (PBEsol) on a relaxed Hf3TcAs crystal.

a b c (Å): 4.806 4.806 4.806
angles (deg): 90.00 90.00 90.00
Last column: magnetic moment on the atom in μB.
Sites, in units of the cell vectors:
Hf: 0.500 0.000 0.000  -0.04
Hf: 0.000 0.500 0.000  -0.04
Hf: 0.000 0.000 0.500  -0.04
As: 0.000 0.000 0.000  0.01
Tc: 0.500 0.500 0.500  1.48

The value obtained for the formation energy is 616 meV per atom. Its crystal system is cubic. Its symmetry is Pm-3m, No. 221.